Record 1
Here is a relaxed Cd3Hg12Br5 crystal from Alexandria. Energies are from PBE-GGA.

Results
E_form (uncorrected): -0.0973 eV/atom
magnetization: 0.00 Bohr magnetons per cell
calculated density: 7.41 g/cm³
DOS at the Fermi energy: 8.08 states/eV/f.u.

```
80
Lattice="15.413 0.000 0.000 -5.138 14.531 0.000 -5.138 -7.266 12.584" Properties=species:S:1:pos:R:3 pbc="T T T"
Hg 9.475 -4.675 10.933
Hg 6.906 2.591 1.651
Hg -5.404 0.396 10.435
Hg -0.800 8.173 4.874
Hg 2.835 9.325 0.731
Hg 2.835 5.603 1.418
Hg -0.394 0.710 3.069
Hg 10.135 -3.742 7.944
Hg 7.312 7.886 7.212
Hg 10.541 6.869 2.149
Hg 3.369 6.358 4.874
Hg 2.175 5.936 8.441
Hg -5.278 5.890 11.665
Hg 2.303 1.663 11.167
Hg 5.938 -0.907 7.710
Hg 9.881 0.620 5.372
Hg -4.997 11.007 4.641
Hg -1.768 -3.768 9.361
Hg -2.175 -0.620 5.372
Hg 7.566 13.156 0.920
Hg -0.140 5.117 5.561
Hg 6.906 11.033 3.223
Hg -4.337 11.941 1.651
Hg 11.076 3.498 3.223
Hg 5.404 -1.663 11.167
Hg -4.744 6.646 7.212
Hg 2.963 1.330 4.143
Hg 7.566 3.524 4.641
Hg 2.303 -2.059 11.853
Hg -2.303 -0.396 10.435
Hg 10.416 1.376 0.920
Hg -2.428 3.742 7.944
Hg 8.100 -0.710 3.069
Hg 2.709 9.414 5.561
Hg 2.428 -2.148 7.024
Hg 1.768 0.907 7.710
Hg -2.428 -5.890 11.665
Hg 5.532 6.556 9.515
Hg 5.404 2.059 11.853
Hg 5.278 2.148 7.024
Hg -2.963 7.975 9.515
Hg -0.266 8.929 1.418
Hg -5.938 3.768 9.361
Hg 7.440 7.662 2.149
Hg 4.744 -1.330 4.143
Hg -0.266 5.206 0.731
Hg 0.394 8.595 8.441
Hg -1.768 4.675 10.933
Br 5.138 -3.633 6.292
Br -1.284 3.633 3.146
Br 1.284 -3.633 9.438
Br 6.422 3.633 9.438
Br 3.853 2.725 1.573
Br -1.284 11.807 1.573
Br 3.853 10.898 3.146
Br 7.706 0.000 0.000
Br -2.569 -3.633 6.292
Br -1.284 0.908 7.865
Br -2.569 7.266 0.000
Br 1.284 4.541 11.011
Br 0.000 0.000 0.000
Br 5.138 7.266 0.000
Br 6.422 -4.541 11.011
Br 6.422 6.357 4.719
Br -3.853 8.174 4.719
Br 2.569 3.633 6.292
Br 8.991 -0.908 7.865
Br -5.138 3.633 6.292
Cd 1.284 7.266 3.146
Cd -3.853 2.725 11.011
Cd -1.284 6.357 7.865
Cd 1.284 -0.908 4.719
Cd -3.853 -2.725 11.011
Cd -6.422 7.266 9.438
Cd 6.422 0.908 4.719
Cd 8.991 9.990 1.573
Cd 11.560 0.000 3.146
Cd 3.853 8.174 7.865
Cd 3.853 0.000 9.438
Cd 8.991 4.541 1.573
```

Record 2
Here is a relaxed MnFeHIrPd crystal from Alexandria. Energies are from PBE-GGA.

Results
magnetization: 7.01 Bohr magnetons per cell
calculated density: 11.67 g/cm³
relative energy among the computed polymorphs: 0.00 kcal/mol of atoms
DOS at the Fermi energy: 4.40 states/eV/f.u.

```
5
Lattice="4.629 0.000 0.204 0.000 2.813 0.000 -1.357 0.000 4.427" Properties=species:S:1:pos:R:3 pbc="T T T"
Ir 3.680 1.406 1.355
H 0.442 1.406 0.071
Fe 3.024 0.000 3.490
Pd 0.747 1.406 3.431
Mn 1.429 0.000 1.256
```

Record 3
Here is a relaxed TeMoAuI2 crystal from Alexandria. Energies are from PBE-GGA.

Results
E_form (uncorrected): 0.6406 eV/atom
magnetization: 1.80 Bohr magnetons per cell
calculated density: 6.79 g/cm³
relative energy among the computed polymorphs: 0.00 kcal/mol of atoms
DOS at the Fermi energy: 4.49 states/eV/f.u.

```
5
Lattice="5.637 0.000 0.000 0.000 5.637 0.000 0.000 0.000 5.191" Properties=species:S:1:pos:R:3 pbc="T T T"
Mo 0.000 0.000 0.000
I 2.819 0.000 0.000
I 0.000 2.819 0.000
Au 2.819 2.819 2.595
Te 0.000 0.000 2.595
```

Record 4
Here is a relaxed RbMn crystal from Alexandria. Energies are from PBE-GGA.

Results
magnetization: 8.05 Bohr magnetons per cell
calculated density: 2.79 g/cm³
energy relative to the elements: 830 meV/atom
relative energy among the computed polymorphs: 0.70 kcal/mol of atoms
DOS at the Fermi energy: 2.56 states/eV/f.u.

```
12
Lattice="15.297 0.000 0.000 0.000 3.964 0.000 0.000 0.000 8.264" Properties=species:S:1:pos:R:3 pbc="T T T"
Mn 7.649 0.947 1.637
Mn 8.904 2.929 0.742
Mn 0.000 3.017 5.770
Mn 1.255 1.035 4.874
Mn 6.393 2.929 0.742
Mn 14.042 1.035 4.874
Rb 7.649 0.958 6.098
Rb 0.000 3.006 1.965
Rb 3.261 0.965 7.795
Rb 10.909 3.000 3.663
Rb 12.037 0.965 7.795
Rb 4.388 3.000 3.663
```

Record 5
Here is a relaxed LaHo9Sc2 crystal from Alexandria. Energies are from PBE-GGA.

Results
magnetization: 0.00 Bohr magnetons per cell
calculated density: 7.80 g/cm³
energy relative to the elements: 45 meV/atom
DOS at the Fermi energy: 19.10 states/eV/f.u.

```
12
Lattice="-4.170 -0.650 -2.593 -2.079 -2.232 3.903 -5.043 13.129 4.820" Properties=species:S:1:pos:R:3 pbc="T T T"
Ho -3.125 -1.441 0.655
Ho -6.245 10.504 2.679
Ho -3.561 5.449 4.362
Ho -4.607 6.240 1.114
Ho -5.199 9.714 5.927
Ho -2.968 1.975 -0.452
Ho -1.923 1.184 2.796
Ho -4.833 3.008 2.288
Ho -6.459 7.240 3.842
La 0.000 0.000 0.000
Sc -3.345 8.708 3.197
Sc -1.698 4.421 1.623
```

Record 6
Here is a relaxed Nb2CoIr2 crystal from Alexandria. Energies are from PBE-GGA.

Results
magnetization: 0.00 Bohr magnetons per cell
calculated density: 13.44 g/cm³
energy relative to the elements: -334 meV/atom
relative energy among the computed polymorphs: 0.00 kcal/mol of atoms
DOS at the Fermi energy: 4.13 states/eV/f.u.

```
10
Lattice="4.861 0.000 0.000 0.000 5.525 0.000 -2.431 -2.763 5.790" Properties=species:S:1:pos:R:3 pbc="T T T"
Co 3.646 2.763 0.000
Co 1.215 2.763 0.000
Nb 0.000 1.043 3.796
Nb 2.431 -1.043 3.796
Nb 2.431 1.719 1.994
Nb 0.000 3.806 1.994
Ir 2.431 4.657 1.127
Ir 0.000 0.868 1.127
Ir 2.431 1.895 4.663
Ir 0.000 -1.895 4.663
```

Record 7
Here is a relaxed Pm6TeP3Se2 crystal from Alexandria. Energies are from PBE-GGA.

Results
E_form (uncorrected): -1.7092 eV/atom
magnetization: 0.00 Bohr magnetons per cell
calculated density: 6.52 g/cm³
DOS at the Fermi energy: 4.57 states/eV/f.u.

```
12
Lattice="-0.966 -3.339 -2.315 1.514 -5.063 6.673 -8.493 3.827 1.790" Properties=species:S:1:pos:R:3 pbc="T T T"
Pm -2.499 -3.975 3.010
Pm -3.519 -1.286 -0.444
Pm -4.425 -3.289 6.591
Pm 1.024 -3.667 4.862
Pm -5.446 -0.600 3.138
Pm -8.968 -0.909 1.285
P -1.715 -3.496 5.758
P 0.274 -4.201 2.179
P -6.230 -1.080 0.389
Te -0.483 -1.670 -1.157
Se -5.445 -3.609 3.711
Se -2.500 -0.966 2.437
```

Record 8
Here is a relaxed Li2MgHPt crystal from Alexandria. Energies are from PBE-GGA.

Results
magnetization: 0.00 Bohr magnetons per cell
calculated density: 6.17 g/cm³
relative energy among the computed polymorphs: 0.51 kcal/mol of atoms
DOS at the Fermi energy: 1.07 states/eV/f.u.

```
5
Lattice="-1.501 0.895 3.645 -1.434 -3.765 0.334 3.308 -1.114 1.636" Properties=species:S:1:pos:R:3 pbc="T T T"
Li -0.751 0.448 1.823
Li -0.717 -1.883 0.167
Mg 0.187 -1.992 2.808
Pt 1.654 -0.557 0.818
H 0.000 0.000 0.000
```

calculated density of number 4 (RbMn)?
2.79 g/cm³